# 1
Gd2Ge5Os3 | GGA-PBE | optimized geometry

a b c (Å): 9.9326 12.4621 5.8600
angles (deg): 90.00 90.00 90.00
With the nearest neighbours (Å) after each atom.
Space group Ibam (No. 72)
Symmetry-distinct sites (fractional):
Gd: 0.2308 0.1401 0.0000 (multiplicity 8)  9 Ge 2.99-3.31, 4 Os 3.15-3.25
Ge: 0.0000 0.0000 0.2500 (multiplicity 4)  4 Os 2.54
Ge: 0.0000 0.2915 0.2500 (multiplicity 8)  3 Os 2.50-2.60, 2 Ge 2.72
Ge: 0.1739 0.4127 0.0000 (multiplicity 8)  3 Os 2.41-2.51
Os: 0.0000 0.5000 0.2500 (multiplicity 4)  6 Ge 2.51-2.60
Os: 0.0957 0.1478 0.5000 (multiplicity 8)  5 Ge 2.41-2.54

Values from the calculation:
The total moment is 0.030 μB/f.u.


# 2
TaAlAu | GGA-PBE | optimized geometry

a b c (Å): 6.1755 6.1755 6.1755
angles (deg): 90.00 90.00 90.00
With the nearest neighbours (Å) after each atom.
Space group F-43m (No. 216)
Symmetry-distinct sites (fractional):
Ta: 0.0000 0.0000 0.0000 (multiplicity 4)  4 Au 2.67
Al: 0.0000 0.0000 0.5000 (multiplicity 4)  4 Au 2.67
Au: 0.2500 0.2500 0.7500 (multiplicity 4)  4 Ta 2.67, 4 Al 2.67

Values from the calculation:
The total moment is 0.071 μB/f.u.


# 3
NaSrIn4Ni2 | GGA-PBE | optimized geometry

a b c (Å): 7.6568 4.4108 10.6581
angles (deg): 90.00 90.00 90.00
With the nearest neighbours (Å) after each atom.
Space group Amm2 (No. 38)
Symmetry-distinct sites (fractional):
Na: 0.0000 0.0000 0.0000 (multiplicity 2)  3 Ni 2.93-3.26
Sr: 0.5000 0.0000 0.1156 (multiplicity 2)  3 Ni 2.97-3.23
In: 0.1903 0.0000 0.7145 (multiplicity 4)  3 Ni 2.70-2.72, 1 In 2.91
In: 0.2952 0.0000 0.4069 (multiplicity 4)  3 Ni 2.66-2.81
Ni: 0.0000 0.0000 0.2748 (multiplicity 2)  6 In 2.66-2.72, 1 Na 2.93
Ni: 0.5000 0.0000 0.8365 (multiplicity 2)  6 In 2.70-2.81, 1 Sr 2.97

Values from the calculation:
The total moment is 0.002 μB/f.u.


# 4
Cd2O3 | GGA-PBE | optimized geometry

a b c (Å): 5.6372 5.6372 14.8273
angles (deg): 90.00 90.00 120.00
With the nearest neighbours (Å) after each atom.
Space group R-3c (No. 167, hexagonal axes)
Symmetry-distinct sites (fractional):
Cd: 0.0000 0.0000 0.1444 (multiplicity 12)  6 O 2.19-2.28
O: 0.0000 0.2949 0.2500 (multiplicity 18)  4 Cd 2.19-2.28


# 5
AcLuNO | GGA-PBE | optimized geometry

a b c (Å): 6.7754 8.2543 5.4972
angles (deg): 90.00 90.00 90.00
With the nearest neighbours (Å) after each atom.
Space group Pca2_1 (No. 29)
Symmetry-distinct sites (fractional):
Ac: 0.0601 0.1338 0.0000 (multiplicity 4)  1 N 2.47, 3 O 2.48-2.71
Lu: 0.0903 0.6102 0.9721 (multiplicity 4)  1 O 2.18, 3 N 2.19-2.22
N: 0.0932 0.5979 0.5681 (multiplicity 4)  3 Lu 2.19-2.22
O: 0.0759 0.1637 0.4912 (multiplicity 4)  1 Lu 2.18

Values from the calculation:
The total moment is 0.604 μB/f.u.


# 6
BeGaReTe | GGA-PBE | optimized geometry

a b c (Å): 6.3923 6.3923 6.3923
angles (deg): 90.00 90.00 90.00
With the nearest neighbours (Å) after each atom.
Space group F-43m (No. 216)
Symmetry-distinct sites (fractional):
Be: 0.0000 0.0000 0.0000 (multiplicity 4)  4 Re 2.77, 4 Te 2.77
Ga: 0.0000 0.0000 0.5000 (multiplicity 4)  4 Re 2.77, 4 Te 2.77
Re: 0.2500 0.2500 0.2500 (multiplicity 4)  4 Ga 2.77, 4 Be 2.77
Te: 0.2500 0.2500 0.7500 (multiplicity 4)  4 Be 2.77, 4 Ga 2.77

Values from the calculation:
The total moment is 0.249 μB/f.u.


# 7
Nb5Ni4Sb4 | GGA-PBE | optimized geometry

a b c (Å): 10.6025 10.6025 3.9554
angles (deg): 90.00 90.00 90.00
With the nearest neighbours (Å) after each atom.
Space group I4/m (No. 87)
Symmetry-distinct sites (fractional):
Nb: 0.0000 0.0000 0.0000 (multiplicity 2)  4 Sb 2.86, 8 Nb 3.09
Nb: 0.1201 0.1891 0.5000 (multiplicity 8)  5 Sb 2.81-2.90, 1 Ni 3.00, 2 Nb 3.09
Ni: 0.0705 0.6014 0.5000 (multiplicity 8)  3 Sb 2.45-2.50, 5 Ni 2.62-2.71
Sb: 0.0647 0.7384 0.0000 (multiplicity 8)  3 Ni 2.45-2.50

Values from the calculation:
The total moment is 0.008 μB/f.u.


# 8
Lu2W4Au3C3 | GGA-PBE | optimized geometry

a b c (Å): 9.6777 5.6112 13.9664
angles (deg): 90.00 103.56 90.00
With the nearest neighbours (Å) after each atom.
Space group C2/c (No. 15)
Symmetry-distinct sites (fractional):
Lu: 0.0387 0.0791 0.3834 (multiplicity 8)  3 C 2.42-2.49
W: 0.1085 0.4040 0.5731 (multiplicity 8)  3 C 2.08-2.18
W: 0.2314 0.4232 0.9267 (multiplicity 8)  3 C 2.08-2.17
Au: 0.0000 0.4780 0.7500 (multiplicity 4)  4 Au 2.86, 4 W 2.93, 2 Lu 3.08
Au: 0.2194 0.1344 0.7522 (multiplicity 8)  4 Au 2.86-2.87, 4 W 2.90-2.91, 2 Lu 3.01-3.06
C: 0.0836 0.2502 0.0000 (multiplicity 8)  4 W 2.08-2.18
C: 0.2500 0.2500 0.5000 (multiplicity 4)  4 W 2.08-2.09

Values from the calculation:
The total moment is 0.001 μB/f.u.


Listing electronic total energy for the structures above in their given order: -282.72 -73.54 -53.71 -113.65 -120.67 -74.35 -183.05 -407.04 eV per cell.